CrCoMo | PBEsol | relaxed

## Properties
- energy (eV per atom) = -9.676
- energy above the most stable polymorph in this dataset (kcal/mol of atoms) = 0.00
- D(E_F) (states/eV/cell) = 3.342
- E_form (kJ per mole of atoms) = 23.1
- symmetry = I4mm

a = 4.7072 Å, b = 4.7072 Å, c = 4.7072 Å
α = 142.93°, β = 142.93°, γ = 53.43°
Last column: nearest neighbours and their distance in Å.
Fractional positions:
Cr: 0.0000 0.0000 0.0000  4 Co 2.52, 5 Mo 2.53-2.82
Co: 0.3363 0.3363 0.0000  4 Cr 2.52, 5 Mo 2.56-2.76
Mo: 0.6648 0.6648 0.0000  5 Cr 2.53-2.82, 5 Co 2.56-2.76